1:
Here is MgSb2As after structural relaxation from Alexandria. Energies are from GGA-PBEsol.

Cell lengths 6.252, 9.694, 3.210 Å; angles 90.00, 108.96, 90.00 degrees
Space group C2/m (No. 12)
Symmetry-distinct sites (fractional):
Mg (0.000, 0.000, 0.000)
Sb (0.250, 0.250, 0.500)
As (0.000, 0.500, 0.000)

Results
calculated volume = 184 Å³ per cell
magnetic moment = 0.00 μB per formula unit

2:
Here is MgSb2As after structural relaxation from Alexandria. Energies are from GGA-PBEsol.

Cell lengths 4.786, 4.786, 8.100 Å; angles 90.00, 90.00, 90.00 degrees
Space group I-4m2 (No. 119)
Symmetry-distinct sites (fractional):
Mg (0.000, 0.000, 0.000)
Sb (0.000, 0.000, 0.500)
Sb (0.000, 0.500, 0.750)
As (0.000, 0.500, 0.250)

Results
calculated volume = 186 Å³ per cell
magnetic moment = 0.00 μB per formula unit

3:
Here is MgSb2As after structural relaxation from Alexandria. Energies are from GGA-PBEsol.

Cell lengths 3.9402, 3.9402, 22.0876 Å; angles 90.00, 90.00, 120.00 degrees
Space group R-3m (No. 166, hexagonal axes)
Symmetry-distinct sites (fractional):
Mg (0.0000, 0.0000, 0.0000)
Sb (0.0000, 0.0000, 0.2447)
As (0.0000, 0.0000, 0.5000)

Results
calculated volume = 297 Å³ per cell
magnetic moment = 0.00 μB per formula unit

Which of them is most stable? Easy: 3.

1:
Here is MgAsSe2 after structural relaxation from Alexandria. Energies are from GGA-PBEsol.

Cell lengths 4.0347, 4.0347, 20.5256 Å; angles 90.00, 90.00, 120.00 degrees
Space group R3m (No. 160, hexagonal axes)
Symmetry-distinct sites (fractional):
Mg (0.0000, 0.0000, 0.0000)
As (0.0000, 0.0000, 0.2179)
Se (0.0000, 0.0000, 0.4975)
Se (0.0000, 0.0000, 0.7116)

Results
calculated volume = 289 Å³ per cell
magnetic moment = 0.00 μB per formula unit

2:
Here is MgAsSe2 after structural relaxation from Alexandria. Energies are from GGA-PBEsol.

Cell lengths 3.891, 3.891, 5.477 Å; angles 90.00, 90.00, 90.00 degrees
Space group P4/mmm (No. 123)
Symmetry-distinct sites (fractional):
Mg (0.000, 0.000, 0.000)
As (0.500, 0.500, 0.500)
Se (0.000, 0.000, 0.500)
Se (0.500, 0.500, 0.000)

Results
calculated volume = 83 Å³ per cell
magnetic moment = 0.00 μB per formula unit

Which of them is most stable? Easy: 2.

1:
Here is MgAsSe2 after structural relaxation from Alexandria. Energies are from GGA-PBEsol.

Cell lengths 3.995, 4.097, 10.836 Å; angles 90.00, 90.00, 90.00 degrees
Space group Immm (No. 71)
Symmetry-distinct sites (fractional):
Mg (0.000, 0.000, 0.000)
As (0.000, 0.000, 0.500)
Se (0.000, 0.500, 0.335)

Results
calculated volume = 177 Å³ per cell
magnetic moment = 0.00 μB per formula unit

2:
Here is MgAsSe2 after structural relaxation from Alexandria. Energies are from GGA-PBEsol.

Cell lengths 3.8404, 3.8404, 23.3516 Å; angles 90.00, 90.00, 120.00 degrees
Space group R-3m (No. 166, hexagonal axes)
Symmetry-distinct sites (fractional):
Mg (0.0000, 0.0000, 0.0000)
As (0.0000, 0.0000, 0.5000)
Se (0.0000, 0.0000, 0.3954)

Results
calculated volume = 298 Å³ per cell
magnetic moment = 0.00 μB per formula unit

3:
Here is MgAsSe2 after structural relaxation from Alexandria. Energies are from GGA-PBEsol.

Cell lengths 5.604, 7.790, 3.863 Å; angles 90.00, 90.00, 90.00 degrees
Space group Cmmm (No. 65)
Symmetry-distinct sites (fractional):
Mg (0.000, 0.000, 0.000)
As (0.000, 0.500, 0.000)
Se (0.000, 0.256, 0.500)

Results
calculated volume = 169 Å³ per cell
magnetic moment = 0.00 μB per formula unit

Which of them is most stable? Easy: 3.

1:
Here is MgSiAs2Se after structural relaxation from Alexandria. Energies are from GGA-PBEsol.

Cell lengths 4.852, 4.852, 4.964 Å; angles 90.00, 90.00, 90.00 degrees
Space group P4/mmm (No. 123)
Symmetry-distinct sites (fractional):
Mg (0.000, 0.000, 0.000)
Si (0.500, 0.500, 0.500)
As (0.000, 0.500, 0.000)
Se (0.000, 0.000, 0.500)

Results
calculated volume = 117 Å³ per cell
magnetic moment = 0.00 μB per formula unit

2:
Here is MgSiAs2Se after structural relaxation from Alexandria. Energies are from GGA-PBEsol.

Cell lengths 4.733, 4.733, 4.856 Å; angles 90.00, 90.00, 90.00 degrees
Space group P4/mmm (No. 123)
Symmetry-distinct sites (fractional):
Mg (0.000, 0.000, 0.000)
Si (0.500, 0.500, 0.500)
As (0.000, 0.500, 0.500)
Se (0.500, 0.500, 0.000)

Results
calculated volume = 109 Å³ per cell
magnetic moment = 0.00 μB per formula unit

Which of them is most stable? Easy: 2.

1:
Here is Mg2SiAs after structural relaxation from Alexandria. Energies are from GGA-PBEsol.

Cell lengths 6.664, 6.664, 6.664 Å; angles 90.00, 90.00, 90.00 degrees
Space group Fm-3m (No. 225)
Symmetry-distinct sites (fractional):
Mg (0.250, 0.250, 0.250)
Si (0.000, 0.000, 0.000)
As (0.000, 0.000, 0.500)

Results
calculated volume = 296 Å³ per cell
magnetic moment = 0.00 μB per formula unit

2:
Here is Mg2SiAs after structural relaxation from Alexandria. Energies are from GGA-PBEsol.

Cell lengths 3.055, 3.055, 7.775 Å; angles 90.00, 90.00, 90.00 degrees
Space group P4/mmm (No. 123)
Symmetry-distinct sites (fractional):
Mg (0.000, 0.000, 0.244)
Si (0.500, 0.500, 0.000)
As (0.500, 0.500, 0.500)

Results
calculated volume = 73 Å³ per cell
magnetic moment = 0.00 μB per formula unit

3:
Here is Mg2SiAs after structural relaxation from Alexandria. Energies are from GGA-PBEsol.

Cell lengths 3.678, 3.678, 5.567 Å; angles 90.00, 90.00, 90.00 degrees
Space group P4mm (No. 99)
Symmetry-distinct sites (fractional):
Mg (0.000, 0.000, 0.000)
Mg (0.500, 0.500, 0.322)
Si (0.000, 0.000, 0.514)
As (0.500, 0.500, 0.813)

Results
calculated volume = 75 Å³ per cell
magnetic moment = 0.00 μB per formula unit

Which of them is most stable? Easy: 2.

1:
Here is MgTc2As after structural relaxation from Alexandria. Energies are from GGA-PBEsol.

Cell lengths 5.530, 8.502, 2.811 Å; angles 90.00, 115.98, 90.00 degrees
Space group C2/m (No. 12)
Symmetry-distinct sites (fractional):
Mg (0.000, 0.000, 0.000)
Tc (0.250, 0.250, 0.500)
As (0.000, 0.500, 0.000)

Results
calculated volume = 119 Å³ per cell
magnetic moment = 0.00 μB per formula unit

2:
Here is MgTc2As after structural relaxation from Alexandria. Energies are from GGA-PBEsol.

Cell lengths 4.265, 4.265, 3.127 Å; angles 90.00, 90.00, 90.00 degrees
Space group P4/mmm (No. 123)
Symmetry-distinct sites (fractional):
Mg (0.000, 0.000, 0.000)
Tc (0.000, 0.500, 0.500)
As (0.500, 0.500, 0.000)

Results
calculated volume = 57 Å³ per cell
magnetic moment = 0.00 μB per formula unit

Which of them is most stable? Easy: 2.

1:
Here is MgTe2As after structural relaxation from Alexandria. Energies are from GGA-PBEsol.

Cell lengths 3.566, 3.566, 7.268 Å; angles 90.00, 90.00, 90.00 degrees
Space group P4/mmm (No. 123)
Symmetry-distinct sites (fractional):
Mg (0.000, 0.000, 0.000)
Te (0.500, 0.500, 0.249)
As (0.000, 0.000, 0.500)

Results
calculated volume = 92 Å³ per cell
magnetic moment = 0.00 μB per formula unit

2:
Here is MgTe2As after structural relaxation from Alexandria. Energies are from GGA-PBEsol.

Cell lengths 3.991, 4.018, 6.607 Å; angles 90.00, 90.00, 90.00 degrees
Space group Pmmm (No. 47)
Symmetry-distinct sites (fractional):
Mg (0.000, 0.000, 0.000)
Te (0.500, 0.000, 0.500)
Te (0.500, 0.500, 0.000)
As (0.000, 0.500, 0.500)

Results
calculated volume = 106 Å³ per cell
magnetic moment = 0.00 μB per formula unit

Which of them is most stable? Easy: 2.

1:
Here is MgTlAs2 after structural relaxation from Alexandria. Energies are from GGA-PBEsol.

Cell lengths 6.234, 6.234, 11.702 Å; angles 90.00, 90.00, 90.00 degrees
Space group I-42d (No. 122)
Symmetry-distinct sites (fractional):
Mg (0.000, 0.000, 0.000)
Tl (0.000, 0.000, 0.500)
As (0.242, 0.250, 0.125)

Results
calculated volume = 455 Å³ per cell
magnetic moment = 0.00 μB per formula unit

2:
Here is MgTlAs2 after structural relaxation from Alexandria. Energies are from GGA-PBEsol.

Cell lengths 3.641, 3.641, 6.844 Å; angles 90.00, 90.00, 90.00 degrees
Space group P4/mmm (No. 123)
Symmetry-distinct sites (fractional):
Mg (0.000, 0.000, 0.000)
Tl (0.000, 0.000, 0.500)
As (0.500, 0.500, 0.180)

Results
calculated volume = 91 Å³ per cell
magnetic moment = 0.00 μB per formula unit

3:
Here is MgTlAs2 after structural relaxation from Alexandria. Energies are from GGA-PBEsol.

Cell lengths 5.906, 7.706, 3.756 Å; angles 90.00, 90.00, 90.00 degrees
Space group Cmmm (No. 65)
Symmetry-distinct sites (fractional):
Mg (0.000, 0.000, 0.000)
Tl (0.000, 0.500, 0.000)
As (0.250, 0.250, 0.500)

Results
calculated volume = 171 Å³ per cell
magnetic moment = 0.00 μB per formula unit

Which of them is most stable? Easy: 2.

1:
Here is Mg2TlAs after structural relaxation from Alexandria. Energies are from GGA-PBEsol.

Cell lengths 3.700, 4.066, 12.039 Å; angles 90.00, 90.00, 90.00 degrees
Space group Imm2 (No. 44)
Symmetry-distinct sites (fractional):
Mg (0.000, 0.000, 0.000)
Mg (0.000, 0.500, 0.200)
Tl (0.000, 0.000, 0.394)
As (0.000, 0.500, 0.668)

Results
calculated volume = 181 Å³ per cell
magnetic moment = 0.00 μB per formula unit

2:
Here is Mg2TlAs after structural relaxation from Alexandria. Energies are from GGA-PBEsol.

Cell lengths 3.435, 3.700, 6.708 Å; angles 90.00, 90.28, 90.00 degrees
Space group P2/m (No. 10)
Symmetry-distinct sites (fractional):
Mg (0.000, 0.000, 0.219)
Tl (0.500, 0.500, 0.500)
As (0.500, 0.500, 0.000)

Results
calculated volume = 85 Å³ per cell
magnetic moment = 0.00 μB per formula unit

Which of them is most stable? Easy: 1.

1:
Here is MgAsW2 after structural relaxation from Alexandria. Energies are from GGA-PBEsol.

Cell lengths 2.785, 4.547, 5.125 Å; angles 90.00, 93.49, 90.00 degrees
Space group P2/m (No. 10)
Symmetry-distinct sites (fractional):
Mg (0.000, 0.000, 0.000)
As (0.500, 0.000, 0.500)
W (0.352, 0.500, 0.756)

Results
calculated volume = 65 Å³ per cell
magnetic moment = 0.00 μB per formula unit

2:
Here is MgAsW2 after structural relaxation from Alexandria. Energies are from GGA-PBEsol.

Cell lengths 3.149, 4.568, 8.898 Å; angles 90.00, 90.00, 90.00 degrees
Space group Immm (No. 71)
Symmetry-distinct sites (fractional):
Mg (0.000, 0.000, 0.000)
As (0.000, 0.000, 0.500)
W (0.000, 0.500, 0.231)

Results
calculated volume = 128 Å³ per cell
magnetic moment = 0.00 μB per formula unit

Which of them is most stable? Easy: 2.

1:
Here is MgAsW2 after structural relaxation from Alexandria. Energies are from GGA-PBEsol.

Cell lengths 2.741, 4.423, 5.366 Å; angles 90.00, 90.00, 90.00 degrees
Space group Pmmm (No. 47)
Symmetry-distinct sites (fractional):
Mg (0.000, 0.000, 0.000)
As (0.000, 0.000, 0.500)
W (0.500, 0.500, 0.247)

Results
calculated volume = 65 Å³ per cell
magnetic moment = 0.00 μB per formula unit

2:
Here is MgAsW2 after structural relaxation from Alexandria. Energies are from GGA-PBEsol.

Cell lengths 3.221, 3.221, 6.314 Å; angles 90.00, 90.00, 90.00 degrees
Space group P4mm (No. 99)
Symmetry-distinct sites (fractional):
Mg (0.000, 0.000, 0.000)
As (0.500, 0.500, 0.723)
W (0.000, 0.000, 0.501)
W (0.500, 0.500, 0.274)

Results
calculated volume = 66 Å³ per cell
magnetic moment = 0.00 μB per formula unit

Which of them is most stable? Easy: 2.

1:
Here is Y2MgAs after structural relaxation from Alexandria. Energies are from GGA-PBEsol.

Cell lengths 4.096, 4.195, 11.192 Å; angles 90.00, 90.00, 90.00 degrees
Space group Amm2 (No. 38)
Symmetry-distinct sites (fractional):
Y (0.000, 0.000, 0.000)
Y (0.500, 0.000, 0.292)
Mg (0.500, 0.000, 0.574)
As (0.000, 0.000, 0.732)

Results
calculated volume = 192 Å³ per cell
magnetic moment = 0.00 μB per formula unit

2:
Here is Y2MgAs after structural relaxation from Alexandria. Energies are from GGA-PBEsol.

Cell lengths 3.759, 4.738, 10.681 Å; angles 90.00, 90.00, 90.00 degrees
Space group Imm2 (No. 44)
Symmetry-distinct sites (fractional):
Y (0.000, 0.000, 0.000)
Y (0.000, 0.500, 0.222)
Mg (0.000, 0.000, 0.432)
As (0.000, 0.500, 0.732)

Results
calculated volume = 190 Å³ per cell
magnetic moment = 0.00 μB per formula unit

Which of them is most stable? Easy: 1.